! PBE Zn2CdSb, relaxed; values from VASP
&SYSTEM
  ibrav = 0, nat = 4, ntyp = 3
/
ATOMIC_SPECIES
Zn 65.41 Zn.upf
Sb 121.76 Sb.upf
Cd 112.41 Cd.upf
ATOMIC_POSITIONS crystal
Zn 0.000 0.000 0.009
Zn 0.000 0.000 0.491
Sb 0.500 0.500 0.750
Cd 0.500 0.500 0.250
CELL_PARAMETERS angstrom
-0.484 3.025 0.815
-0.711 -0.066 -3.089
-8.299 -1.854 1.950
! Raw formation energy   66.3 kJ/mol of formula units
! Theoretical density   7.11 g/cm³
! D(E_F)   1.59 states/eV/cell
! Raw total energy   -1.7245 eV per atom
! SG   No. 65
! Offset from the most stable computed form   75.0 meV/atom

! PBE Ga2IBr, relaxed; values from VASP
&SYSTEM
  ibrav = 0, nat = 4, ntyp = 3
/
ATOMIC_SPECIES
Br 79.90 Br.upf
Ga 69.72 Ga.upf
I 126.90 I.upf
ATOMIC_POSITIONS crystal
Br 0.668 0.668 0.995
Ga 0.255 0.255 0.235
Ga 0.078 0.078 0.766
I 0.499 0.499 0.504
CELL_PARAMETERS angstrom
4.449 0.000 0.000
2.224 3.853 0.000
2.224 1.284 7.954
! Raw formation energy   -158.6 kJ/mol of formula units
! Theoretical density   4.22 g/cm³
! D(E_F)   0.00 states/eV/cell
! Raw total energy   -2.7301 eV per atom
! SG   No. 160
! Offset from the most stable computed form   55.1 meV/atom

! PBE Pr3Cd5Rh2, relaxed; values from VASP
&SYSTEM
  ibrav = 0, nat = 20, ntyp = 3
/
ATOMIC_SPECIES
Pr 140.91 Pr.upf
Cd 112.41 Cd.upf
Rh 102.91 Rh.upf
ATOMIC_POSITIONS crystal
Pr 0.152 0.101 0.594
Pr 0.848 0.899 0.406
Pr 0.348 0.406 0.899
Pr 0.750 0.000 0.000
Pr 0.250 0.000 0.000
Pr 0.652 0.594 0.101
Cd 0.013 0.737 0.737
Cd 0.987 0.263 0.263
Cd 0.902 0.438 0.757
Cd 0.487 0.263 0.263
Cd 0.598 0.243 0.562
Cd 0.250 0.500 0.500
Cd 0.402 0.757 0.438
Cd 0.098 0.562 0.243
Cd 0.750 0.500 0.500
Cd 0.513 0.737 0.737
Rh 0.359 0.007 0.276
Rh 0.641 0.993 0.724
Rh 0.859 0.276 0.007
Rh 0.141 0.724 0.993
CELL_PARAMETERS angstrom
6.377 0.000 0.000
3.188 8.773 -1.195
3.188 1.176 8.775
! Energy of formation   -0.30 eV per atom
! Theoretical density   7.91 g/cm³
! D(E_F)   15.05 states/eV/cell
! Raw total energy   -3.6654 eV per atom
! SG   No. 72

! PBE TbPmTiIn, relaxed; values from VASP
&SYSTEM
  ibrav = 0, nat = 4, ntyp = 4
/
ATOMIC_SPECIES
Pm 145.00 Pm.upf
Tb 158.93 Tb.upf
In 114.82 In.upf
Ti 47.87 Ti.upf
ATOMIC_POSITIONS crystal
Pm 0.000 0.000 0.000
Tb 0.500 0.500 0.500
In 0.750 0.750 0.750
Ti 0.250 0.250 0.250
CELL_PARAMETERS angstrom
5.320 0.000 0.000
2.660 4.608 0.000
2.660 1.536 4.344
! Energy of formation   -0.07 eV per atom
! Theoretical density   7.28 g/cm³
! D(E_F)   5.30 states/eV/cell
! Raw total energy   -5.0785 eV per atom
! SG   No. 216

! PBE MnI2Cl, relaxed; values from VASP
&SYSTEM
  ibrav = 0, nat = 8, ntyp = 3
/
ATOMIC_SPECIES
I 126.90 I.upf
Mn 54.94 Mn.upf
Cl 35.45 Cl.upf
ATOMIC_POSITIONS crystal
I 0.875 0.966 0.750
I 0.716 0.125 0.250
I 0.034 0.625 0.250
I 0.375 0.284 0.750
Mn 0.750 0.250 0.500
Mn 0.000 0.000 0.000
Cl 0.500 0.500 0.000
Cl 0.250 0.750 0.500
CELL_PARAMETERS angstrom
7.165 0.000 0.000
0.000 7.165 0.000
3.582 3.582 4.973
! Raw formation energy   87.4 kJ/mol of formula units
! Theoretical density   4.48 g/cm³
! D(E_F)   10.24 states/eV/cell
! Raw total energy   -3.3028 eV per atom
! SG   No. 122
! Offset from the most stable computed form   717.1 meV/atom

! PBE Sm3Tm2Al2, relaxed; values from VASP
&SYSTEM
  ibrav = 0, nat = 7, ntyp = 3
/
ATOMIC_SPECIES
Tm 168.93 Tm.upf
Sm 150.36 Sm.upf
Al 26.98 Al.upf
ATOMIC_POSITIONS crystal
Tm 0.712 0.288 0.576
Tm 0.288 0.712 0.424
Sm 0.872 0.128 0.256
Sm 0.000 0.000 0.000
Sm 0.128 0.872 0.744
Al 0.436 0.564 0.129
Al 0.564 0.436 0.871
CELL_PARAMETERS angstrom
-1.830 -2.897 -0.869
1.002 -1.542 3.020
-14.010 5.135 5.201
! Energy of formation   -0.19 eV per atom
! Theoretical density   7.18 g/cm³
! D(E_F)   6.06 states/eV/cell
! Raw total energy   -4.5572 eV per atom
! SG   No. 139